[1]
Here is TaAlAu2 after structural relaxation from Alexandria. Energies are from PBE-GGA.

The structure in extended XYZ format:
```
4
Lattice="0.0000 3.2617 3.2617 3.2617 0.0000 3.2617 3.2617 3.2617 0.0000" Properties=species:S:1:pos:R:3 pbc="T T T"
Ta 0.0000 0.0000 0.0000
Al 1.6308 1.6308 1.6308
Au 3.2617 3.2617 3.2617
Au 4.8925 4.8925 4.8925
```

Values from the calculation:
total magnetization	0.200	Bohr magnetons per cell
space-group type	F-43m
formation energy from the elements	7.8	kJ per mole of atoms

***

[2]
Here is LaCu2Br after structural relaxation from Alexandria. Energies are from PBE-GGA.

The structure in extended XYZ format:
```
8
Lattice="-4.0736 4.0736 2.8603 4.0736 -4.0736 2.8603 4.0736 4.0736 -2.8603" Properties=species:S:1:pos:R:3 pbc="T T T"
La 0.0000 0.0000 0.0000
La 0.0000 4.0736 1.4302
Cu 2.0368 -1.9209 2.1452
Cu 2.1527 2.0368 0.7151
Cu 2.0368 5.9945 -0.7151
Cu 1.9209 2.0368 3.5754
Br 4.0736 0.0000 1.4302
Br 0.0000 0.0000 2.8603
```

Values from the calculation:
energy above the most stable polymorph in this dataset	125	kJ/mol of formula units
total magnetization	0.000	Bohr magnetons per cell
raw formation energy	-0.1720	eV/atom
space-group type	I-42d

***

[3]
Here is YReNi2 after structural relaxation from Alexandria. Energies are from PBE-GGA.

The structure in extended XYZ format:
```
8
Lattice="-2.2003 2.2003 8.1101 2.2003 -2.2003 8.1101 2.2003 2.2003 -8.1101" Properties=species:S:1:pos:R:3 pbc="T T T"
Y 0.0000 0.0000 0.0000
Y 0.0000 2.2003 4.0551
Re 2.2003 0.0000 4.0551
Re 0.0000 0.0000 8.1101
Ni 1.1002 -0.4123 6.0826
Ni 1.7881 1.1002 2.0275
Ni 1.1002 2.6126 -2.0275
Ni 0.4123 1.1002 10.1377
```

Values from the calculation:
energy above the most stable polymorph in this dataset	230	kJ/mol of formula units
total magnetization	0.000	Bohr magnetons per cell
space-group type	I-42d
formation energy from the elements	49.0	kJ per mole of atoms

***

[4]
Here is VSn2Pd8 after structural relaxation from Alexandria. Energies are from PBE-GGA.

The structure in extended XYZ format:
```
11
Lattice="3.6494 -6.2248 0.0000 3.6494 6.2248 0.0000 -1.6529 0.0000 4.1567" Properties=species:S:1:pos:R:3 pbc="T T T"
V 0.0000 0.0000 0.0000
Sn 2.8229 2.3541 2.0783
Sn 2.8229 -2.3541 2.0783
Pd 0.4364 1.3702 2.5399
Pd 3.6494 3.6859 0.0000
Pd 0.4364 -1.3702 2.5399
Pd 2.4249 0.0000 0.7643
Pd 3.2209 0.0000 3.3923
Pd 5.2094 1.3702 1.6167
Pd 3.6494 -3.6859 0.0000
Pd 5.2094 -1.3702 1.6167
```

Values from the calculation:
total magnetization	1.053	Bohr magnetons per cell
space-group type	C2/m
formation energy from the elements	-22.6	kJ per mole of atoms

***

[5]
Here is DyPaAgO6 after structural relaxation from Alexandria. Energies are from PBE-GGA.

The structure in extended XYZ format:
```
9
Lattice="5.4874 0.0000 0.0000 -2.7437 4.7522 0.0000 0.0000 0.0000 4.9274" Properties=species:S:1:pos:R:3 pbc="T T T"
Dy 0.0000 0.0000 0.0000
Pa 2.7437 1.5841 2.4637
Ag 0.0000 3.1681 0.0000
O 1.9209 0.0151 1.2055
O 0.9736 1.6560 3.7219
O 3.5665 0.0151 3.7219
O 1.7963 3.0811 1.2055
O 4.5138 1.6560 1.2055
O 3.6911 3.0811 3.7219
```

Values from the calculation:
total magnetization	0.786	Bohr magnetons per cell
raw formation energy	-2.1900	eV/atom
space-group type	P312

***

[6]
Here is YFe2I after structural relaxation from Alexandria. Energies are from PBE-GGA.

The structure in extended XYZ format:
```
4
Lattice="0.0000 3.3315 3.3315 3.3315 0.0000 3.3315 3.3315 3.3315 0.0000" Properties=species:S:1:pos:R:3 pbc="T T T"
Y 0.0000 0.0000 0.0000
Fe 1.6657 1.6657 1.6657
Fe 4.9972 4.9972 4.9972
I 3.3315 3.3315 3.3315
```

Values from the calculation:
energy above the most stable polymorph in this dataset	0	kJ/mol of formula units
total magnetization	3.733	Bohr magnetons per cell
raw formation energy	0.6105	eV/atom
space-group type	Fm-3m

***

[7]
Here is Tb5Ag2Pb5 after structural relaxation from Alexandria. Energies are from PBE-GGA.

The structure in extended XYZ format:
```
12
Lattice="8.3256 -2.3669 0.0000 8.3256 2.3669 0.0000 -6.6489 0.0000 8.2842" Properties=species:S:1:pos:R:3 pbc="T T T"
Tb 0.0000 0.0000 0.0000
Tb -1.0089 0.0000 3.4668
Tb -2.4092 0.0000 6.8558
Tb 12.4116 0.0000 1.4284
Tb 11.0113 0.0000 4.8174
Ag 0.9978 0.0000 6.1613
Ag 9.0046 0.0000 2.1229
Pb 2.1861 0.0000 2.5880
Pb 6.3132 0.0000 1.0718
Pb 5.0012 0.0000 4.1421
Pb 3.6892 0.0000 7.2124
Pb 7.8163 0.0000 5.6962
```

Values from the calculation:
total magnetization	0.000	Bohr magnetons per cell
space-group type	C2/m
formation energy from the elements	-39.6	kJ per mole of atoms

***

[8]
Here is ZrCoS2 after structural relaxation from Alexandria. Energies are from PBE-GGA.

The structure in extended XYZ format:
```
8
Lattice="-2.7015 2.7015 5.3897 2.7015 -2.7015 5.3897 2.7015 2.7015 -5.3897" Properties=species:S:1:pos:R:3 pbc="T T T"
Zr 0.0000 0.0000 0.0000
Zr 0.0000 2.7015 2.6948
Co 2.7015 0.0000 2.6948
Co 0.0000 0.0000 5.3897
S 1.3508 -1.1175 4.0422
S 1.5840 1.3508 1.3474
S 1.3508 3.8190 -1.3474
S 1.1175 1.3508 6.7371
```

Values from the calculation:
energy above the most stable polymorph in this dataset	0	kJ/mol of formula units
total magnetization	2.133	Bohr magnetons per cell
raw formation energy	-0.7731	eV/atom
space-group type	I-42d